# 1
Density functional theory data (PBE) for a geometry-optimized SrCa3Hg6 structure.

For the density of states at the Fermi level, the calculation gives 0.67 states/eV/atom. As for the magnetic moment: 0.0 μB per formula unit. As for the electronic total energy: -1.4226 eV per atom. The crystal system is monoclinic.

Cell: 9.4560 5.3645 11.3050 Å, 90.00 105.45 90.00°
Space group P2_1/m (No. 11)
One atom of each set of equivalent atoms:
Sr1 0.0581 0.2500 0.3808 [2 per cell]
Ca1 0.2394 0.2500 0.0094 [2 per cell]
Ca2 0.3514 0.7500 0.8038 [2 per cell]
Ca3 0.4698 0.2500 0.6097 [2 per cell]
Hg1 0.0693 0.7500 0.9188 [2 per cell]
Hg2 0.1542 0.7500 0.2090 [2 per cell]
Hg3 0.1707 0.2500 0.6982 [2 per cell]
Hg4 0.2552 0.7500 0.5130 [2 per cell]
Hg5 0.3674 0.2500 0.3029 [2 per cell]
Hg6 0.4637 0.7500 0.0949 [2 per cell]

=====

# 2
Density functional theory data (PBE) for a geometry-optimized La8Ir3OsI4 structure.

For the density of states at the Fermi level, the calculation gives 0.40 states/eV/atom. The uncorrected formation energy comes out at -1008 meV/atom. As for the magnetic moment: 0.0 μB per formula unit. The crystal system is trigonal.

Cell: 8.5036 8.5036 24.7187 Å, 90.00 90.00 120.00°
Space group R-3m (No. 166, hexagonal axes)
One atom of each set of equivalent atoms:
La1 0.0000 0.0000 0.2276 [6 per cell]
La2 0.0047 0.5023 0.2283 [18 per cell]
Ir1 0.0000 0.5000 0.5000 [9 per cell]
Os1 0.0000 0.0000 0.5000 [3 per cell]
I1 0.0000 0.0000 0.0000 [3 per cell]
I2 0.0000 0.5000 0.0000 [9 per cell]

=====

# 3
Density functional theory data (PBE) for a geometry-optimized FeAsIr2 structure.

For the density of states at the Fermi level, the calculation gives 1.28 states/eV/atom. As for the magnetic moment: 3.1 μB per formula unit. As for the electronic total energy: -7.5411 eV per atom. The crystal system is orthorhombic.

Cell: 5.6479 7.0173 2.9011 Å, 90.00 90.00 90.00°
Space group Cmmm (No. 65)
One atom of each set of equivalent atoms:
Fe1 0.0000 0.0000 0.0000 [2 per cell]
As1 0.0000 0.5000 0.0000 [2 per cell]
Ir1 0.2500 0.2500 0.5000 [4 per cell]

=====

# 4
Density functional theory data (PBE) for a geometry-optimized AlNi4 structure.

For the density of states at the Fermi level, the calculation gives 1.21 states/eV/atom. As for the magnetic moment: 0.7 μB per formula unit. As for the electronic total energy: -5.6483 eV per atom. The crystal system is orthorhombic.

Cell: 3.8392 4.9196 12.0365 Å, 90.00 90.00 90.00°
Space group Imma (No. 74)
One atom of each set of equivalent atoms:
Al1 0.0000 0.2500 0.1049 [4 per cell]
Ni1 0.0000 0.0000 0.5000 [4 per cell]
Ni2 0.0000 0.0043 0.6968 [8 per cell]
Ni3 0.0000 0.2500 0.8945 [4 per cell]

=====

# 5
Density functional theory data (PBE) for a geometry-optimized HfSeIN2 structure.

For the density of states at the Fermi level, the calculation gives 0.86 states/eV/atom. The uncorrected formation energy comes out at 406 meV/atom. As for the magnetic moment: 0.0 μB per formula unit. The crystal system is tetragonal. The value obtained for the energy above the most stable polymorph in this dataset is 0.000 eV per atom.

Cell: 4.1615 4.1615 5.8876 Å, 90.00 90.00 90.00°
Space group P4/mmm (No. 123)
One atom of each set of equivalent atoms:
Hf1 0.0000 0.0000 0.0000 [1 per cell]
Se1 0.0000 0.0000 0.5000 [1 per cell]
I1 0.5000 0.5000 0.5000 [1 per cell]
N1 0.0000 0.5000 0.0000 [2 per cell]

=====

# 6
Density functional theory data (PBE) for a geometry-optimized RbTlSn2 structure.

For the density of states at the Fermi level, the calculation gives 0.73 states/eV/atom. As for the magnetic moment: 0.0 μB per formula unit. The crystal system is cubic. The value obtained for the energy above the most stable polymorph in this dataset is 0.248 eV per atom.

Cell: 8.0781 8.0781 8.0781 Å, 90.00 90.00 90.00°
Space group Fm-3m (No. 225)
One atom of each set of equivalent atoms:
Rb1 0.0000 0.0000 0.0000 [4 per cell]
Tl1 0.0000 0.0000 0.5000 [4 per cell]
Sn1 0.2500 0.2500 0.2500 [8 per cell]

=====

# 7
Density functional theory data (PBE) for a geometry-optimized AlReRu2 structure.

For the density of states at the Fermi level, the calculation gives 0.77 states/eV/atom. As for the magnetic moment: 0.0 μB per formula unit. As for the electronic total energy: -9.0150 eV per atom. The crystal system is tetragonal.

Cell: 2.8785 2.8785 6.7409 Å, 90.00 90.00 90.00°
Space group P4/mmm (No. 123)
One atom of each set of equivalent atoms:
Al1 0.0000 0.0000 0.0000 [1 per cell]
Re1 0.0000 0.0000 0.5000 [1 per cell]
Ru1 0.5000 0.5000 0.2391 [2 per cell]

=====

# 8
Density functional theory data (PBE) for a geometry-optimized Cs2Ga4Ag5 structure.

For the density of states at the Fermi level, the calculation gives 0.40 states/eV/atom. As for the magnetic moment: 0.0 μB per formula unit. As for the electronic total energy: -2.5229 eV per atom. The crystal system is monoclinic.

Cell: 13.6235 5.9792 8.5642 Å, 90.00 121.98 90.00°
Space group C2/m (No. 12)
One atom of each set of equivalent atoms:
Cs1 0.2130 0.0000 0.1289 [4 per cell]
Ga1 0.1056 0.0000 0.6479 [4 per cell]
Ga2 0.2315 0.5000 0.4083 [4 per cell]
Ag1 0.0000 0.5000 0.0000 [2 per cell]
Ag2 0.0476 0.2644 0.3414 [8 per cell]

=====

# 9
Density functional theory data (PBE) for a geometry-optimized V2SnHgIr structure.

For the density of states at the Fermi level, the calculation gives 1.58 states/eV/atom. As for the magnetic moment: 4.9 μB per formula unit. As for the electronic total energy: -4.4290 eV per atom. The crystal system is tetragonal.

Cell: 5.0026 5.0026 5.1434 Å, 90.00 90.00 90.00°
Space group P4/mmm (No. 123)
One atom of each set of equivalent atoms:
V1 0.0000 0.5000 0.0000 [2 per cell]
Sn1 0.0000 0.0000 0.0000 [1 per cell]
Hg1 0.0000 0.0000 0.5000 [1 per cell]
Ir1 0.5000 0.5000 0.5000 [1 per cell]

=====

# 10
Density functional theory data (PBE) for a geometry-optimized ZnSbN3 structure.

For the density of states at the Fermi level, the calculation gives 0.69 states/eV/atom. The uncorrected formation energy comes out at 1610 meV/atom. As for the magnetic moment: 0.0 μB per formula unit. The crystal system is cubic.

Cell: 4.0216 4.0216 4.0216 Å, 90.00 90.00 90.00°
Space group Pm-3m (No. 221)
One atom of each set of equivalent atoms:
Zn1 0.0000 0.0000 0.0000 [1 per cell]
Sb1 0.5000 0.5000 0.5000 [1 per cell]
N1 0.0000 0.5000 0.5000 [3 per cell]

=====

# 11
Density functional theory data (PBE) for a geometry-optimized SbPd7S2 structure.

For the density of states at the Fermi level, the calculation gives 0.48 states/eV/atom. The uncorrected formation energy comes out at -188 meV/atom. As for the magnetic moment: 0.0 μB per formula unit. The crystal system is orthorhombic.

Cell: 7.2841 14.5437 3.3937 Å, 90.00 90.00 90.00°
Space group Cmmm (No. 65)
One atom of each set of equivalent atoms:
Sb1 0.0000 0.0000 0.0000 [2 per cell]
Pd1 0.0000 0.2377 0.0000 [4 per cell]
Pd2 0.0000 0.5000 0.5000 [2 per cell]
Pd3 0.1866 0.1143 0.5000 [8 per cell]
S1 0.0000 0.3425 0.5000 [4 per cell]

=====

# 12
Density functional theory data (PBE) for a geometry-optimized PmErF4 structure.

The uncorrected formation energy comes out at -3363 meV/atom. As for the magnetic moment: 0.0 μB per formula unit. The crystal system is tetragonal.

Cell: 7.5297 7.5297 7.5694 Å, 90.00 90.00 90.00°
Space group I4_1md (No. 109)
One atom of each set of equivalent atoms:
Pm1 0.0000 0.0000 0.0000 [4 per cell]
Er1 0.0000 0.0000 0.4751 [4 per cell]
F1 0.0000 0.2804 0.5413 [8 per cell]
F2 0.0000 0.3127 0.9558 [8 per cell]

=====

Question: What is the magnetic moment in the seventh record?
Answer: 0.0 μB per formula unit